[1]
A plane-wave DFT calculation with PBE was carried out for a geometry-optimized LaPr2TmBi4 structure.

## Properties
ΔE_f	-0.927	eV/atom
spin magnetization	0.0000	μB/atom
theoretical density	8.542	Mg/m³
symmetry	P2/m, No. 10

a = 7.974 Å, b = 4.616 Å, c = 7.987 Å
α = 90.00°, β = 109.48°, γ = 90.00°
Sites, in units of the cell vectors:
La1 0.000 0.000 0.000
Pr1 0.000 0.500 0.500
Pr2 0.500 0.000 0.500
Tm1 0.500 0.500 0.000
Bi1 0.256 0.500 0.247
Bi2 0.260 0.000 0.759
Bi3 0.740 0.000 0.241
Bi4 0.744 0.500 0.753

***

[2]
A plane-wave DFT calculation with PBE was carried out for a geometry-optimized La2PrTmBi4 structure.

## Properties
ΔE_f	-0.955	eV/atom
spin magnetization	0.0000	μB/atom
theoretical density	8.450	Mg/m³
symmetry	P2/m, No. 10

a = 7.999 Å, b = 4.632 Å, c = 8.013 Å
α = 90.00°, β = 109.55°, γ = 90.00°
Sites, in units of the cell vectors:
La1 0.000 0.000 0.000
La2 0.000 0.500 0.500
Pr1 0.500 0.000 0.500
Tm1 0.500 0.500 0.000
Bi1 0.257 0.500 0.246
Bi2 0.261 0.000 0.760
Bi3 0.739 0.000 0.240
Bi4 0.743 0.500 0.754

***

[3]
A plane-wave DFT calculation with PBE was carried out for a geometry-optimized LaPrZnBi structure.

## Properties
ΔE_f	-0.499	eV/atom
spin magnetization	0.0000	μB/atom
theoretical density	7.796	Mg/m³
symmetry	F-43m, No. 216

a = 5.506 Å, b = 5.506 Å, c = 5.506 Å
α = 60.00°, β = 60.00°, γ = 60.00°
Sites, in units of the cell vectors:
La1 0.000 0.000 0.000
Pr1 0.500 0.500 0.500
Zn1 0.250 0.250 0.250
Bi1 0.750 0.750 0.750

***

Number 1: V 277 Å³/f.u.. Number 2: V 280 Å³/f.u.. Number 3: V 118 Å³/f.u..